No. 1
VASP calculation (GGA-PBE) on a relaxed SrTb5Tl3 crystal.

Unit cell a=6.9064 b=9.4754 c=9.4751 alpha=120.00 beta=90.00 gamma=90.00
Last column: nearest neighbours and their distance in Å.
Fractional coordinates of all 18 atoms:
Tl: 0.2500 0.6680 0.6679  5 Tb 3.10-3.45
Tb: 0.0000 0.3333 0.6666  8 Tb 3.45-3.57, 6 Tl 3.60-3.61
Tb: 0.7500 0.6596 0.6596  5 Tl 3.10-3.45
Tl: 0.2500 0.3321 0.0000  5 Tb 3.10-3.45
Tb: 0.7500 0.0000 0.3404  5 Tl 3.10-3.45
Tb: 0.2500 0.6596 0.0000  5 Tl 3.10-3.45
Tl: 0.2500 0.0000 0.3321  5 Tb 3.10-3.45
Tl: 0.7500 0.6679 0.0000  5 Tb 3.10-3.45
Tl: 0.7500 0.3320 0.3321  5 Tb 3.10-3.45
Tb: 0.5000 0.3333 0.6666  8 Tb 3.45-3.57, 6 Tl 3.60-3.61
Tb: 0.7500 0.3404 0.0000  5 Tl 3.10-3.45
Tl: 0.7500 0.0000 0.6679  5 Tb 3.10-3.45
Tb: 0.2500 0.0000 0.6596  5 Tl 3.10-3.45
Tb: 0.2500 0.3404 0.3404  5 Tl 3.10-3.45
Sr: 0.5000 0.0000 0.0000  2 Sr 3.45, 6 Tl 3.59, 6 Tb 3.66
Sr: 0.0000 0.0000 0.0000  2 Sr 3.45, 6 Tl 3.59, 6 Tb 3.66
Tb: 0.0000 0.6667 0.3334  8 Tb 3.45-3.57, 6 Tl 3.60-3.61
Tb: 0.5000 0.6667 0.3334  8 Tb 3.45-3.57, 6 Tl 3.60-3.61

Formation enthalpy at 0 K ... -2.200 eV per formula unit
Calculated total energy ... -3.792 eV per atom
Calculated density ... 9.2 g cm⁻³
Space-group type ... P6_3/mcm


No. 2
VASP calculation (GGA-PBE) on a relaxed BaTcCl2 crystal.

Unit cell a=5.1869 b=5.1869 c=5.1869 alpha=120.06 beta=120.06 gamma=89.90
Last column: nearest neighbours and their distance in Å.
Fractional coordinates of all 4 atoms:
Cl: 0.5000 0.5000 0.0000  4 Ba 3.18, 4 Tc 3.18
Tc: 0.2500 0.7500 0.5000  8 Cl 3.18
Ba: 0.7500 0.2500 0.5000  8 Cl 3.18
Cl: 0.0000 0.0000 0.0000  4 Ba 3.18, 4 Tc 3.18

E above lowest polymorph ... 208 meV/atom
ΔE_f (raw) ... -146 kJ/mol of formula units
Calculated total energy ... -4.374 eV per atom
Calculated density ... 5.2 g cm⁻³
Space-group type ... Fm-3m


No. 3
VASP calculation (GGA-PBE) on a relaxed LiZnCl2 crystal.

Unit cell a=6.9089 b=6.9089 c=6.9089 alpha=31.77 beta=31.77 gamma=31.77
Last column: nearest neighbours and their distance in Å.
Fractional coordinates of all 4 atoms:
Cl: 0.5103 0.5103 0.5103  3 Li 2.61, 3 Zn 2.86
Li: 0.2500 0.2500 0.2500  6 Cl 2.61
Zn: 0.7500 0.7500 0.7500  6 Cl 2.86
Cl: 0.9897 0.9897 0.9897  3 Li 2.61, 3 Zn 2.86

E above lowest polymorph ... 79 meV/atom
ΔE_f (raw) ... -356 kJ/mol of formula units
Calculated total energy ... -2.643 eV per atom
Calculated density ... 2.9 g cm⁻³
Space-group type ... R-3m


No. 4
VASP calculation (GGA-PBE) on a relaxed MgTlSi2 crystal.

Unit cell a=4.1069 b=3.0737 c=6.8227 alpha=86.48 beta=90.00 gamma=90.00
Last column: nearest neighbours and their distance in Å.
Fractional coordinates of all 4 atoms:
Si: 0.0000 0.2244 0.9278  1 Si 2.42
Si: 0.0000 0.2756 0.5722  1 Si 2.42
Mg: 0.5000 0.7500 0.7500  8 Si 2.83-2.84, 2 Mg 3.07
Tl: 0.5000 0.2500 0.2500  4 Si 3.01, 2 Tl 3.07

E above lowest polymorph ... 124 meV/atom
ΔE_f (raw) ... 109 kJ/mol of formula units
Calculated total energy ... -3.420 eV per atom
Calculated density ... 5.5 g cm⁻³
Space-group type ... P2/m


No. 5
VASP calculation (GGA-PBE) on a relaxed BaCeCd2 crystal.

Unit cell a=3.9947 b=3.9947 c=8.2337 alpha=90.00 beta=90.00 gamma=90.00
Last column: nearest neighbours and their distance in Å.
Fractional coordinates of all 4 atoms:
Cd: 0.0000 0.0000 0.7869  4 Ce 3.33, 1 Cd 3.51, 4 Ba 3.68
Cd: 0.0000 0.0000 0.2131  4 Ce 3.33, 1 Cd 3.51, 4 Ba 3.68
Ba: 0.5000 0.5000 0.5000  8 Cd 3.68, 4 Ba 3.99, 2 Ce 4.12
Ce: 0.5000 0.5000 0.0000  8 Cd 3.33

E above lowest polymorph ... 0 meV/atom
Formation enthalpy at 0 K ... -0.789 eV per formula unit
Calculated total energy ... -2.619 eV per atom
Calculated density ... 6.3 g cm⁻³
Space-group type ... P4/mmm


No. 6
VASP calculation (GGA-PBE) on a relaxed Ac2Cu9Sn crystal.

Unit cell a=5.2810 b=5.2810 c=9.2101 alpha=73.34 beta=73.34 gamma=60.00
Last column: nearest neighbours and their distance in Å.
Fractional coordinates of all 12 atoms:
Cu: 0.5000 0.5000 0.5000  6 Cu 2.78
Cu: 0.6673 0.6673 0.9982  6 Cu 2.52-2.54
Cu: 0.5772 0.0776 0.7679  7 Cu 2.52-2.78
Sn: 0.0000 0.0000 0.0000  18 Cu 3.05-3.32
Cu: 0.4228 0.4228 0.2321  7 Cu 2.52-2.78
Cu: 0.3327 0.3327 0.0018  6 Cu 2.52-2.54
Cu: 0.9224 0.4228 0.2321  7 Cu 2.52-2.78
Cu: 0.0776 0.5772 0.7679  7 Cu 2.52-2.78
Ac: 0.8655 0.8655 0.4036  9 Cu 3.03-3.16
Ac: 0.1345 0.1345 0.5964  9 Cu 3.03-3.16
Cu: 0.4228 0.9224 0.2321  7 Cu 2.52-2.78
Cu: 0.5772 0.5772 0.7679  7 Cu 2.52-2.78

Formation enthalpy at 0 K ... 0.096 eV per formula unit
Calculated total energy ... -4.082 eV per atom
Calculated density ... 9.1 g cm⁻³
Space-group type ... R-3m


No. 7
VASP calculation (GGA-PBE) on a relaxed MgZrGaIr crystal.

Unit cell a=4.6143 b=4.6143 c=4.6143 alpha=60.00 beta=60.00 gamma=60.00
Last column: nearest neighbours and their distance in Å.
Fractional coordinates of all 4 atoms:
Ir: 0.5000 0.5000 0.5000  4 Zr 2.83, 4 Mg 2.83
Zr: 0.7500 0.7500 0.7500  4 Ga 2.83, 4 Ir 2.83
Mg: 0.2500 0.2500 0.2500  4 Ir 2.83, 4 Ga 2.83
Ga: 0.0000 0.0000 0.0000  4 Zr 2.83, 4 Mg 2.83

Formation enthalpy at 0 K ... -2.227 eV per formula unit
Calculated total energy ... -6.064 eV per atom
Calculated density ... 9.0 g cm⁻³
Space-group type ... F-43m


No. 8
VASP calculation (GGA-PBE) on a relaxed Th2Ga3SnPt4 crystal.

Unit cell a=4.3544 b=4.3544 c=10.6234 alpha=90.00 beta=90.00 gamma=90.00
Last column: nearest neighbours and their distance in Å.
Fractional coordinates of all 10 atoms:
Pt: 0.0000 0.0000 0.0000  4 Ga 2.56
Sn: 0.5000 0.5000 0.5000  4 Pt 2.65
Th: 0.5000 0.0000 0.2351  6 Ga 3.29-3.56, 8 Pt 3.31-3.34, 2 Sn 3.56
Pt: 0.5000 0.0000 0.6429  3 Ga 2.45-2.65, 2 Sn 2.65
Ga: 0.0000 0.5000 0.1264  5 Pt 2.45-2.56
Pt: 0.0000 0.5000 0.3571  3 Ga 2.45-2.65, 2 Sn 2.65
Ga: 0.0000 0.0000 0.5000  4 Pt 2.65
Pt: 0.5000 0.5000 0.0000  4 Ga 2.56
Ga: 0.5000 0.0000 0.8736  5 Pt 2.45-2.56
Th: 0.0000 0.5000 0.7649  6 Ga 3.29-3.56, 8 Pt 3.31-3.34, 2 Sn 3.56

Formation enthalpy at 0 K ... -9.188 eV per formula unit
Calculated total energy ... -6.127 eV per atom
Calculated density ... 13.0 g cm⁻³
Space-group type ... P-4m2


Among the records above, which one has the highest calculated density? Th2Ga3SnPt4